{
  "formula": "SrPt2Se",
  "functional": "PBE",
  "state": "relaxed",
  "raw_formation_energy_ev_per_atom": -0.18,
  "magnetic_moment_mub_per_cell": 0.00,
  "spacegroup": "Pmmm (47)",
  "dos_ef_per_ev_cell": 2.28,
  "crystal_system": "orthorhombic",
  "lattice_angstrom": [[3.147, 0.000, 0.000], [0.000, 4.324, 0.000], [0.000, 0.000, 5.976]],
  "species": ["Sr", "Pt", "Pt", "Se"],
  "frac_coords": [[0.000, 0.000, 0.000], [0.500, 0.500, 0.272], [0.500, 0.500, 0.728], [0.000, 0.000, 0.500]]
}